(1)
Material: Li2BiHAu
Method: DFT, PBE-GGA
State: optimized geometry

The space group is P4/mmm (No. 123) and the conventional cell measures 4.4759, 4.4759 and 3.8904 Å, with angles of 90.00, 90.00 and 90.00 degrees. The asymmetric unit holds Li at (0.0000, 0.5000, 0.0000), Bi at (0.0000, 0.0000, 0.5000), H at (0.5000, 0.5000, 0.0000) and Au at (0.5000, 0.5000, 0.5000).

The calculation puts the total energy at -3.1987 eV per atom. As for the energy above the most stable polymorph in this dataset: 0.000 eV/atom.



(2)
Material: K2CdIn4Ge3
Method: DFT, PBE-GGA
State: optimized geometry

The space group is P-4m2 (No. 115) and the conventional cell measures 4.9238, 4.9238 and 11.5868 Å, with angles of 90.00, 90.00 and 90.00 degrees. The asymmetric unit holds K at (0.0000, 0.5000, 0.2503), Cd at (0.0000, 0.0000, 0.5000), In at (0.0000, 0.0000, 0.0000), In at (0.0000, 0.5000, 0.6347), In at (0.5000, 0.5000, 0.0000), Ge at (0.0000, 0.5000, 0.8713) and Ge at (0.5000, 0.5000, 0.5000).

The calculation puts the total energy at -2.8728 eV per atom.



(3)
Material: RbCd3Pb
Method: DFT, PBE-GGA
State: optimized geometry

The space group is Pm-3m (No. 221) and the conventional cell measures 6.3521, 6.3521 and 6.3521 Å, with angles of 90.00, 90.00 and 90.00 degrees. The asymmetric unit holds Rb at (0.0000, 0.0000, 0.0000), Cd at (0.0000, 0.0000, 0.5000) and Pb at (0.5000, 0.5000, 0.5000).

The calculation puts the total energy at -0.6984 eV per atom. As for the energy above the most stable polymorph in this dataset: 0.849 eV/atom.



(4)
Material: Cu2ReSe
Method: DFT, PBE-GGA
State: optimized geometry

The space group is F-43m (No. 216) and the conventional cell measures 6.0927, 6.0927 and 6.0927 Å, with angles of 90.00, 90.00 and 90.00 degrees. The asymmetric unit holds Cu at (0.0000, 0.0000, 0.0000), Cu at (0.2500, 0.2500, 0.2500), Re at (0.2500, 0.2500, 0.7500) and Se at (0.0000, 0.0000, 0.5000).

The calculation puts the total energy at -5.4147 eV per atom. For the formation energy without anion corrections, the calculation gives 617 meV per atom.



(5)
Material: CaPm2Cd8
Method: DFT, PBE-GGA
State: optimized geometry

The space group is C2/m (No. 12) and the conventional cell measures 8.4118, 16.1719 and 5.3932 Å, with angles of 90.00, 129.67 and 90.00 degrees. The asymmetric unit holds Ca at (0.0000, 0.0000, 0.0000), Pm at (0.0000, 0.3105, 0.5000), Cd at (0.0000, 0.2007, 0.0000), Cd at (0.0011, 0.5000, 0.7502) and Cd at (0.2300, 0.1301, 0.7307).

The calculation puts the total energy at -1.9907 eV per atom.



(6)
Material: Sr3ReAu
Method: DFT, PBE-GGA
State: optimized geometry

The space group is Pm-3m (No. 221) and the conventional cell measures 5.6847, 5.6847 and 5.6847 Å, with angles of 90.00, 90.00 and 90.00 degrees. The asymmetric unit holds Sr at (0.0000, 0.0000, 0.5000), Re at (0.0000, 0.0000, 0.0000) and Au at (0.5000, 0.5000, 0.5000).

The calculation puts the total energy at -3.4925 eV per atom. As for the energy above the most stable polymorph in this dataset: 0.000 eV/atom.



(7)
Material: Rb3Pa2Se3O4
Method: DFT, PBE-GGA
State: optimized geometry

The space group is Immm (No. 71) and the conventional cell measures 4.2954, 5.7692 and 26.1074 Å, with angles of 90.00, 90.00 and 90.00 degrees. The asymmetric unit holds Rb at (0.0000, 0.0000, 0.0000), Rb at (0.0000, 0.0000, 0.2026), Pa at (0.0000, 0.0000, 0.3850), Se at (0.0000, 0.0000, 0.5000), Se at (0.0000, 0.5000, 0.3964), O at (0.0000, 0.0000, 0.3098) and O at (0.0000, 0.5000, 0.1137).

The calculation puts the total energy at -6.4995 eV per atom. For the formation energy without anion corrections, the calculation gives -2151 meV per atom.



(8)
Material: AcEuZnIn
Method: DFT, PBE-GGA
State: optimized geometry

The space group is F-43m (No. 216) and the conventional cell measures 7.9216, 7.9216 and 7.9216 Å, with angles of 90.00, 90.00 and 90.00 degrees. The asymmetric unit holds Ac at (0.0000, 0.0000, 0.0000), Eu at (0.0000, 0.0000, 0.5000), Zn at (0.2500, 0.2500, 0.2500) and In at (0.2500, 0.2500, 0.7500).

The calculation puts the total energy at -4.9492 eV per atom.



(9)
Material: NaHf2RuN
Method: DFT, PBE-GGA
State: optimized geometry

The space group is P4/mmm (No. 123) and the conventional cell measures 4.9105, 4.9105 and 3.6857 Å, with angles of 90.00, 90.00 and 90.00 degrees. The asymmetric unit holds Na at (0.0000, 0.0000, 0.0000), Hf at (0.0000, 0.5000, 0.0000), Ru at (0.5000, 0.5000, 0.5000) and N at (0.0000, 0.0000, 0.5000).

The calculation puts the total energy at -6.0245 eV per atom. For the formation energy without anion corrections, the calculation gives 1741 meV per atom.



(10)
Material: LaSm3Sn2
Method: DFT, PBE-GGA
State: optimized geometry

The space group is C2/m (No. 12) and the conventional cell measures 18.4713, 4.7076 and 9.7368 Å, with angles of 90.00, 114.54 and 90.00 degrees. The asymmetric unit holds La at (0.1157, 0.0000, 0.1342), Sm at (0.0551, 0.0000, 0.6896), Sm at (0.1454, 0.5000, 0.4793), Sm at (0.1928, 0.5000, 0.8874), Sn at (0.0097, 0.5000, 0.8554) and Sn at (0.2408, 0.0000, 0.7103).

The calculation puts the total energy at -5.0491 eV per atom. As for the energy above the most stable polymorph in this dataset: 0.032 eV/atom.



(11)
Material: TmZnCo2H6
Method: DFT, PBE-GGA
State: optimized geometry

The space group is R-3m (No. 166, hexagonal axes) and the conventional cell measures 4.2438, 4.2438 and 14.8958 Å, with angles of 90.00, 90.00 and 120.00 degrees. The asymmetric unit holds Tm at (0.0000, 0.0000, 0.0000), Zn at (0.0000, 0.0000, 0.5000), Co at (0.0000, 0.0000, 0.2080) and H at (0.0125, 0.5063, 0.9394).

The calculation puts the total energy at -4.1959 eV per atom.



(12)
Material: Cu2Pt8Au
Method: DFT, PBE-GGA
State: optimized geometry

The space group is C2/m (No. 12) and the conventional cell measures 14.2377, 3.9257 and 6.2393 Å, with angles of 90.00, 105.06 and 90.00 degrees. The asymmetric unit holds Cu at (0.2282, 0.0000, 0.1349), Pt at (0.0495, 0.0000, 0.2215), Pt at (0.0969, 0.5000, 0.9572), Pt at (0.1420, 0.0000, 0.6969), Pt at (0.1843, 0.5000, 0.4099) and Au at (0.0000, 0.5000, 0.5000).

The calculation puts the total energy at -5.4836 eV per atom.



Number 1: calculated density 8.966 g cm⁻³. Number 2: calculated density 5.130 g cm⁻³. Number 3: calculated density 4.081 g cm⁻³. Number 4: calculated density 11.520 g cm⁻³. Number 5: calculated density 7.230 g cm⁻³. Number 6: calculated density 5.840 g cm⁻³. Number 7: calculated density 5.233 g cm⁻³. Number 8: calculated density 7.472 g cm⁻³. Number 9: calculated density 9.250 g cm⁻³. Number 10: calculated density 7.135 g cm⁻³. Number 11: calculated density 7.682 g cm⁻³. Number 12: calculated density 18.587 g cm⁻³.